Ac2MnO6: relaxed, GGA+U.

Structure (CIF):
```
data_Ac2MnO6
_space_group_name_H-M_alt 'P 1 21/c 1'
_space_group_IT_number 14
_space_group_name_Hall '-P 2ybc'
_cell_length_a 5.4388
_cell_length_b 6.4873
_cell_length_c 9.2499
_cell_angle_alpha 90.00
_cell_angle_beta 122.22
_cell_angle_gamma 90.00
loop_
_atom_site_label
_atom_site_type_symbol
_atom_site_fract_x
_atom_site_fract_y
_atom_site_fract_z
_atom_site_occupancy
Ac1 Ac 0.2178 0.0974 0.2551 1
Mn1 Mn 0.5000 0.0000 0.0000 1
O1 O 0.1617 0.1448 0.9594 1
O2 O 0.3098 0.7336 0.9463 1
O3 O 0.3583 0.0328 0.7642 1
```

**E_tot**: -131.11 eV for the cell shown
**Total magnetization**: 0.989 μB per formula unit
**Crystal system**: monoclinic
**Relative energy among the computed polymorphs**: 0.000 eV/atom